An optimized crystal structure of CsCdCo2F8, computed with PBE+U.

Cell: 5.267 5.497 7.426 Å, 79.26 80.62 79.89°
Positions (direct):
1 Cs 0.000 0.000 0.000
2 Cd 0.000 0.000 0.500
3 Co 0.459 0.452 0.228
4 Co 0.541 0.548 0.772
5 F 0.202 0.697 0.722
6 F 0.263 0.749 0.300
7 F 0.299 0.242 0.437
8 F 0.382 0.326 0.017
9 F 0.618 0.674 0.983
10 F 0.701 0.758 0.563
11 F 0.737 0.251 0.700
12 F 0.798 0.303 0.278

## Properties
Electronic total energy, eV per atom: -4.37
Theoretical density, g/cm³: 4.15
V, Å³/atom: 17.173